Entry 1:
Density functional theory data (PBE) for KLaSm after structural relaxation.

- VASP energy: -2.500 eV/atom
- Magnetic moment: 0.664 μB/atom

a = 8.413 Å, b = 8.413 Å, c = 8.413 Å
α = 90.00°, β = 90.00°, γ = 90.00°
Space group F-43m (No. 216)
Unique sites:
K 0.000 0.000 0.000
La 0.000 0.000 0.500
Sm 0.250 0.250 0.250

Entry 2:
Density functional theory data (PBE) for KLaTb after structural relaxation.

- VASP energy: -2.412 eV/atom
- Magnetic moment: 0.743 μB/atom

a = 8.392 Å, b = 8.392 Å, c = 8.392 Å
α = 90.00°, β = 90.00°, γ = 90.00°
Space group F-43m (No. 216)
Unique sites:
K 0.000 0.000 0.000
La 0.250 0.250 0.250
Tb 0.000 0.000 0.500

Entry 3:
Density functional theory data (PBE) for KLaZnTe3 after structural relaxation.

- VASP energy: -3.899 eV/atom
- Magnetic moment: 0.000 μB/atom

a = 9.385 Å, b = 4.534 Å, c = 10.994 Å
α = 90.00°, β = 106.14°, γ = 90.00°
Space group P2_1/m (No. 11)
Unique sites:
K 0.247 0.250 0.283
La 0.307 0.750 0.863
Zn 0.077 0.250 0.611
Te 0.058 0.250 0.846
Te 0.210 0.750 0.546
Te 0.461 0.750 0.161

Entry 4:
Density functional theory data (PBE) for KLaZnTe3 after structural relaxation.

- VASP energy: -3.758 eV/atom
- Magnetic moment: 0.000 μB/atom

a = 20.710 Å, b = 4.686 Å, c = 9.176 Å
α = 90.00°, β = 103.33°, γ = 90.00°
Space group C2/m (No. 12)
Unique sites:
K 0.128 0.000 0.070
La 0.169 0.000 0.578
Zn 0.037 0.500 0.735
Te 0.000 0.000 0.500
Te 0.000 0.500 0.000
Te 0.168 0.500 0.818
Te 0.173 0.500 0.350

What did the third record say?
Density functional theory data (PBE) for KLaZnTe3 after structural relaxation.

- VASP energy: -3.899 eV/atom
- Magnetic moment: 0.000 μB/atom

a = 9.385 Å, b = 4.534 Å, c = 10.994 Å
α = 90.00°, β = 106.14°, γ = 90.00°
Space group P2_1/m (No. 11)
Unique sites:
K 0.247 0.250 0.283
La 0.307 0.750 0.863
Zn 0.077 0.250 0.611
Te 0.058 0.250 0.846
Te 0.210 0.750 0.546
Te 0.461 0.750 0.161

Question: Which of these has the highest magnetic moment?
Answer: KLaTb